1) Computed, not measured: an optimized crystal structure of NbTlIN2 at the PBE level of DFT.

a = 4.2502 Å, b = 4.2502 Å, c = 5.9846 Å
α = 90.00°, β = 90.00°, γ = 90.00°
Site moments in Bohr magnetons follow the coordinates.
Atoms (fractional coordinates):
I 0.0000 0.0000 0.5000  -0.01
Tl 0.0000 0.0000 0.0000  -0.02
Nb 0.5000 0.5000 0.5000  0.60
N 0.0000 0.5000 0.0000  0.42
N 0.5000 0.0000 0.0000  0.42

***

2) Computed, not measured: an optimized crystal structure of NbTlIN2 at the PBE level of DFT.

a = 4.2540 Å, b = 4.2540 Å, c = 5.8354 Å
α = 90.00°, β = 90.00°, γ = 90.00°
Site moments in Bohr magnetons follow the coordinates.
Atoms (fractional coordinates):
I 0.0000 0.0000 0.5000  0.00
Tl 0.5000 0.5000 0.5000  0.00
Nb 0.0000 0.0000 0.0000  -0.29
N 0.0000 0.5000 0.0000  0.39
N 0.5000 0.0000 0.0000  0.39

***

Stability ranking, top entry: 2); the second entry is 1848 meV/atom less favorable.

***

1) Computed, not measured: an optimized crystal structure of NbTlI2N at the PBE level of DFT.

a = 5.9632 Å, b = 5.9632 Å, c = 3.9950 Å
α = 90.00°, β = 90.00°, γ = 90.00°
Site moments in Bohr magnetons follow the coordinates.
Atoms (fractional coordinates):
I 0.0000 0.5000 0.0000  0.00
I 0.5000 0.0000 0.0000  0.00
Tl 0.5000 0.5000 0.5000  0.01
Nb 0.0000 0.0000 0.0000  0.86
N 0.0000 0.0000 0.5000  -0.09

***

2) Computed, not measured: an optimized crystal structure of NbTlI2N at the PBE level of DFT.

a = 6.1765 Å, b = 6.1765 Å, c = 3.9671 Å
α = 90.00°, β = 90.00°, γ = 90.00°
Site moments in Bohr magnetons follow the coordinates.
Atoms (fractional coordinates):
I 0.0000 0.5000 0.0000  -0.06
I 0.5000 0.0000 0.0000  -0.06
Tl 0.0000 0.0000 0.0000  0.01
Nb 0.5000 0.5000 0.5000  2.82
N 0.0000 0.0000 0.5000  0.09

***

Stability ranking, top entry: 1); the second entry is 1587 meV/atom less favorable.

***

1) Computed, not measured: an optimized crystal structure of YNbIN2 at the PBE level of DFT.

a = 4.1886 Å, b = 4.1886 Å, c = 5.4675 Å
α = 90.00°, β = 90.00°, γ = 90.00°
Atoms (fractional coordinates):
I 0.0000 0.0000 0.5000
Y 0.5000 0.5000 0.5000
Nb 0.0000 0.0000 0.0000
N 0.0000 0.5000 0.0000
N 0.5000 0.0000 0.0000

***

2) Computed, not measured: an optimized crystal structure of YNbIN2 at the PBE level of DFT.

a = 4.3450 Å, b = 4.3450 Å, c = 5.7889 Å
α = 90.00°, β = 90.00°, γ = 90.00°
Atoms (fractional coordinates):
I 0.0000 0.0000 0.5000
Y 0.0000 0.0000 0.0000
Nb 0.5000 0.5000 0.5000
N 0.0000 0.5000 0.0000
N 0.5000 0.0000 0.0000

***

Stability ranking, top entry: 1); the second entry is 1158 meV/atom less favorable.

***

1) Computed, not measured: an optimized crystal structure of NbZnIN2 at the PBE level of DFT.

a = 3.9905 Å, b = 3.9905 Å, c = 5.2350 Å
α = 90.00°, β = 90.00°, γ = 90.00°
Atoms (fractional coordinates):
I 0.0000 0.0000 0.5000
Nb 0.5000 0.5000 0.5000
Zn 0.0000 0.0000 0.0000
N 0.0000 0.5000 0.0000
N 0.5000 0.0000 0.0000

***

2) Computed, not measured: an optimized crystal structure of NbZnIN2 at the PBE level of DFT.

a = 4.0651 Å, b = 4.0651 Å, c = 5.9578 Å
α = 90.00°, β = 90.00°, γ = 90.00°
Site moments in Bohr magnetons follow the coordinates.
Atoms (fractional coordinates):
I 0.0000 0.0000 0.5000  0.00
Nb 0.0000 0.0000 0.0000  -0.04
Zn 0.5000 0.5000 0.5000  0.00
N 0.0000 0.5000 0.0000  0.11
N 0.5000 0.0000 0.0000  0.11

***

Stability ranking, top entry: 2); the second entry is 1340 meV/atom less favorable.

***

1) Computed, not measured: an optimized crystal structure of ZrNbI2N at the PBE level of DFT.

a = 5.7415 Å, b = 3.8966 Å, c = 5.7415 Å
α = 90.00°, β = 90.00°, γ = 90.00°
Site moments in Bohr magnetons follow the coordinates.
Atoms (fractional coordinates):
I 0.0000 0.0000 0.5000  -0.01
I 0.5000 0.0000 0.0000  -0.03
Nb 0.0000 0.0000 0.0000  -0.67
Zr 0.5000 0.5000 0.5000  1.38
N 0.0000 0.5000 0.0000  0.08

***

2) Computed, not measured: an optimized crystal structure of ZrNbI2N at the PBE level of DFT.

a = 5.8894 Å, b = 5.8894 Å, c = 3.9791 Å
α = 90.00°, β = 90.00°, γ = 90.00°
Site moments in Bohr magnetons follow the coordinates.
Atoms (fractional coordinates):
I 0.0000 0.5000 0.0000  -0.02
I 0.5000 0.0000 0.0000  -0.02
Nb 0.5000 0.5000 0.5000  2.91
Zr 0.0000 0.0000 0.0000  -0.04
N 0.0000 0.0000 0.5000  0.03

***

Stability ranking, top entry: 1); the second entry is 104 meV/atom less favorable.

***

1) Computed, not measured: an optimized crystal structure of ZrNbIN2 at the PBE level of DFT.

a = 4.2371 Å, b = 4.2371 Å, c = 5.7877 Å
α = 90.00°, β = 90.00°, γ = 90.00°
Site moments in Bohr magnetons follow the coordinates.
Atoms (fractional coordinates):
I 0.0000 0.0000 0.5000  -0.01
Nb 0.5000 0.5000 0.5000  2.60
Zr 0.0000 0.0000 0.0000  0.05
N 0.0000 0.5000 0.0000  -0.34
N 0.5000 0.0000 0.0000  -0.34

***

2) Computed, not measured: an optimized crystal structure of ZrNbIN2 at the PBE level of DFT.

a = 4.1215 Å, b = 4.1215 Å, c = 5.4689 Å
α = 90.00°, β = 90.00°, γ = 90.00°
Atoms (fractional coordinates):
I 0.0000 0.0000 0.5000
Nb 0.0000 0.0000 0.0000
Zr 0.5000 0.5000 0.5000
N 0.0000 0.5000 0.0000
N 0.5000 0.0000 0.0000

***

Stability ranking, top entry: 2); the second entry is 282 meV/atom less favorable.

***

1) Computed, not measured: an optimized crystal structure of NiIN2 at the PBE level of DFT.

a = 5.3606 Å, b = 5.3606 Å, c = 5.5786 Å
α = 61.28°, β = 61.28°, γ = 90.00°
Atoms (fractional coordinates):
I 0.0000 0.0000 0.0000
I 0.7500 0.2500 0.5000
Ni 0.5000 0.5000 0.0000
Ni 0.2500 0.7500 0.5000
N 0.5092 0.1250 0.2500
N 0.2408 0.6250 0.2500
N 0.3750 0.4908 0.7500
N 0.8750 0.7592 0.7500

***

2) Computed, not measured: an optimized crystal structure of NiIN2 at the PBE level of DFT.

a = 6.3527 Å, b = 6.3527 Å, c = 6.3527 Å
α = 28.78°, β = 28.78°, γ = 28.78°
Atoms (fractional coordinates):
I 0.0000 0.0000 0.0000
Ni 0.5000 0.5000 0.5000
N 0.8801 0.8801 0.8801
N 0.1199 0.1199 0.1199

***

Stability ranking, top entry: 2); the second entry is 201 meV/atom less favorable.

***

1) Computed, not measured: an optimized crystal structure of NiIN2 at the PBE level of DFT.

a = 6.1308 Å, b = 6.1308 Å, c = 6.1308 Å
α = 33.48°, β = 33.48°, γ = 33.48°
Site moments in Bohr magnetons follow the coordinates.
Atoms (fractional coordinates):
I 0.5000 0.5000 0.5000  -0.01
Ni 0.0000 0.0000 0.0000  0.41
N 0.8980 0.8980 0.8980  0.03
N 0.1020 0.1020 0.1020  0.03

***

2) Computed, not measured: an optimized crystal structure of NiIN2 at the PBE level of DFT.

a = 4.0200 Å, b = 4.0200 Å, c = 4.0200 Å
α = 60.00°, β = 60.00°, γ = 60.00°
Site moments in Bohr magnetons follow the coordinates.
Atoms (fractional coordinates):
I 0.5000 0.5000 0.5000  -0.06
Ni 0.0000 0.0000 0.0000  0.75
N 0.2500 0.2500 0.2500  0.21
N 0.7500 0.7500 0.7500  0.21

***

Stability ranking, top entry: 1); the second entry is 554 meV/atom less favorable.

***

1) Computed, not measured: an optimized crystal structure of NiI2N at the PBE level of DFT.

a = 4.6697 Å, b = 4.6697 Å, c = 4.6697 Å
α = 60.00°, β = 60.00°, γ = 60.00°
Atoms (fractional coordinates):
I 0.2500 0.2500 0.2500
I 0.7500 0.7500 0.7500
Ni 0.5000 0.5000 0.5000
N 0.0000 0.0000 0.0000

***

2) Computed, not measured: an optimized crystal structure of NiI2N at the PBE level of DFT.

a = 5.4146 Å, b = 5.4146 Å, c = 7.2946 Å
α = 68.21°, β = 68.21°, γ = 90.00°
Atoms (fractional coordinates):
I 0.6091 0.1250 0.2500
I 0.1409 0.6250 0.2500
I 0.3750 0.3909 0.7500
I 0.8750 0.8591 0.7500
Ni 0.0000 0.0000 0.0000
Ni 0.7500 0.2500 0.5000
N 0.5000 0.5000 0.0000
N 0.2500 0.7500 0.5000

***

Stability ranking, top entry: 2); the second entry is 569 meV/atom less favorable.

***

1) Computed, not measured: an optimized crystal structure of NiI3N at the PBE level of DFT.

a = 5.3078 Å, b = 5.3078 Å, c = 5.3078 Å
α = 90.00°, β = 90.00°, γ = 90.00°
Site moments in Bohr magnetons follow the coordinates.
Atoms (fractional coordinates):
I 0.0000 0.5000 0.0000  0.00
I 0.0000 0.0000 0.5000  0.02
I 0.5000 0.0000 0.0000  0.01
Ni 0.0000 0.0000 0.0000  -0.01
N 0.5000 0.5000 0.5000  1.87

***

2) Computed, not measured: an optimized crystal structure of NiI3N at the PBE level of DFT.

a = 4.9939 Å, b = 4.9939 Å, c = 4.9939 Å
α = 90.00°, β = 90.00°, γ = 90.00°
Site moments in Bohr magnetons follow the coordinates.
Atoms (fractional coordinates):
I 0.0000 0.5000 0.0000  0.10
I 0.0000 0.0000 0.5000  0.05
I 0.5000 0.0000 0.0000  0.07
Ni 0.5000 0.5000 0.5000  1.00
N 0.0000 0.0000 0.0000  0.00

***

Stability ranking, top entry: 1); the second entry is 221 meV/atom less favorable.